No. 1
Pr5NdS8: relaxed, GGA-PBE.

abc: 7.5120 7.5120 7.5120
angles: 108.46 108.46 111.51
Closest atoms and distances in Å follow each position.
Sites, in units of the cell vectors:
Pr: 0.0000 0.0000 0.0000  8 S 2.96-3.05
Pr: 0.1246 0.2275 0.6019  6 S 2.88-2.98
Pr: 0.4773 0.8754 0.1030  6 S 2.88-2.98
Pr: 0.6256 0.5227 0.3981  6 S 2.88-2.98
Pr: 0.7725 0.3744 0.8970  6 S 2.88-2.98
Nd: 0.2500 0.7500 0.5000  8 S 2.94-3.04
S: 0.0173 0.6214 0.7435  4 Pr 2.88-2.98, 1 Nd 3.04
S: 0.2339 0.4782 0.1072  4 Pr 2.88-3.05, 1 Nd 2.94
S: 0.3710 0.1267 0.8928  4 Pr 2.88-3.05, 1 Nd 2.94
S: 0.3786 0.1221 0.3959  4 Pr 2.88-2.98, 1 Nd 3.04
S: 0.5218 0.6290 0.7557  4 Pr 2.88-3.05, 1 Nd 2.94
S: 0.7262 0.9827 0.6041  4 Pr 2.88-2.98, 1 Nd 3.04
S: 0.8733 0.7661 0.2443  4 Pr 2.88-3.05, 1 Nd 2.94
S: 0.8779 0.2738 0.2565  4 Pr 2.88-2.98, 1 Nd 3.04

Values from the calculation:
- Total moment: 0.00 μB per atom
- DOS at the Fermi energy: 6.33 states/eV/f.u.
- Energy relative to the elements, uncorrected: -2.020 eV/atom
- Energy: -6.43 eV/atom


No. 2
Cu2Ru: relaxed, GGA-PBE.

abc: 4.8698 4.8698 4.8698
angles: 103.50 103.50 122.21
Closest atoms and distances in Å follow each position.
Sites, in units of the cell vectors:
Cu: 0.1466 0.6466 0.7932  1 Cu 2.50, 4 Ru 2.59
Cu: 0.3534 0.1466 0.5000  1 Cu 2.50, 4 Ru 2.59
Cu: 0.6466 0.8534 0.5000  1 Cu 2.50, 4 Ru 2.59
Cu: 0.8534 0.3534 0.2068  1 Cu 2.50, 4 Ru 2.59
Ru: 0.2500 0.2500 0.0000  2 Ru 2.35, 8 Cu 2.59
Ru: 0.7500 0.7500 0.0000  2 Ru 2.35, 8 Cu 2.59

Values from the calculation:
- DFT formation energy: 0.54 eV/atom
- Distance to the lowest polymorph of the same formula: 401 meV/atom
- Total moment: 0.00 μB per atom
- DOS at the Fermi energy: 2.51 states/eV/f.u.
- Energy: -5.28 eV/atom


No. 3
Ac3SnSb: relaxed, GGA-PBE.

abc: 6.1926 6.1926 6.1926
angles: 90.00 90.00 90.00
Closest atoms and distances in Å follow each position.
Sites, in units of the cell vectors:
Ac: 0.0000 0.0000 0.5000  2 Sb 3.10
Ac: 0.0000 0.5000 0.0000  2 Sb 3.10
Ac: 0.5000 0.0000 0.0000  2 Sb 3.10
Sn: 0.5000 0.5000 0.5000  12 Ac 4.38
Sb: 0.0000 0.0000 0.0000  6 Ac 3.10

Values from the calculation:
- Distance to the lowest polymorph of the same formula: 519 meV/atom
- Total moment: 0.00 μB per atom
- DOS at the Fermi energy: 3.63 states/eV/f.u.
- Energy relative to the elements, uncorrected: -0.166 eV/atom
- Energy: -4.26 eV/atom


No. 4
Ga5Hg: relaxed, GGA-PBE.

abc: 7.2043 7.2043 4.1737
angles: 90.00 90.00 146.32
Closest atoms and distances in Å follow each position.
Sites, in units of the cell vectors:
Ga: 0.0000 0.0000 0.0000  4 Hg 2.95, 8 Ga 3.13-3.14
Ga: 0.1704 0.8296 0.5000  10 Ga 2.95-3.14, 2 Hg 3.14
Ga: 0.3307 0.6693 0.0000  10 Ga 2.95-3.13, 2 Hg 3.13
Ga: 0.6693 0.3307 0.0000  10 Ga 2.95-3.13, 2 Hg 3.13
Ga: 0.8296 0.1704 0.5000  10 Ga 2.95-3.14, 2 Hg 3.14
Hg: 0.5000 0.5000 0.5000  12 Ga 2.95-3.14

Values from the calculation:
- DFT formation energy: 0.05 eV/atom
- Distance to the lowest polymorph of the same formula: 15 meV/atom
- Total moment: 0.00 μB per atom
- DOS at the Fermi energy: 1.27 states/eV/f.u.
- Energy: -2.52 eV/atom


No. 5
Tl5Cl2F3: relaxed, GGA-PBE.

abc: 7.7579 7.7579 10.4025
angles: 118.53 118.53 32.17
Closest atoms and distances in Å follow each position.
Sites, in units of the cell vectors:
Tl: 0.0000 0.0000 0.0000  2 F 2.76
Tl: 0.1008 0.1008 0.4231  1 F 2.54
Tl: 0.3370 0.3370 0.2242  3 F 2.60-2.68
Tl: 0.6630 0.6630 0.7758  3 F 2.60-2.68
Tl: 0.8992 0.8992 0.5769  1 F 2.54
Cl: 0.3444 0.3444 0.7536  7 Tl 3.19-3.55
Cl: 0.6556 0.6556 0.2464  7 Tl 3.19-3.55
F: 0.0771 0.0771 0.8072  4 Tl 2.54-2.76
F: 0.5000 0.5000 0.5000  6 Tl 2.68-2.95
F: 0.9229 0.9229 0.1928  4 Tl 2.54-2.76

Values from the calculation:
- Total moment: 0.00 μB per atom
- DOS at the Fermi energy: 0.00 states/eV/f.u.
- Energy relative to the elements, uncorrected: -1.436 eV/atom
- Energy: -3.55 eV/atom


No. 6
Tb2BiPbO6: relaxed, GGA-PBE.

abc: 6.2097 6.2097 6.2097
angles: 57.75 57.75 57.75
Closest atoms and distances in Å follow each position.
Sites, in units of the cell vectors:
Tb: 0.0000 0.0000 0.0000  6 O 2.25-2.39
Tb: 0.4964 0.4964 0.4964  6 O 2.28-2.35
Bi: 0.7829 0.7829 0.7829  6 O 2.39-2.41
Pb: 0.2804 0.2804 0.2804  6 O 2.41-2.46
O: 0.1180 0.3695 0.6935  2 Tb 2.25-2.35, 1 Bi 2.41, 1 Pb 2.46
O: 0.1862 0.8696 0.6184  2 Tb 2.28-2.39, 1 Bi 2.39, 1 Pb 2.41
O: 0.3695 0.6935 0.1180  2 Tb 2.25-2.35, 1 Bi 2.41, 1 Pb 2.46
O: 0.6184 0.1862 0.8696  2 Tb 2.28-2.39, 1 Bi 2.39, 1 Pb 2.41
O: 0.6935 0.1180 0.3695  2 Tb 2.25-2.35, 1 Bi 2.41, 1 Pb 2.46
O: 0.8696 0.6184 0.1862  2 Tb 2.28-2.39, 1 Bi 2.39, 1 Pb 2.41

Values from the calculation:
- Total moment: 0.06 μB per atom
- DOS at the Fermi energy: 4.42 states/eV/f.u.
- Energy relative to the elements, uncorrected: -2.247 eV/atom
- Energy: -6.91 eV/atom


No. 7
Ho2GaFeC: relaxed, GGA-PBE.

abc: 4.9387 4.9387 3.6710
angles: 90.00 90.00 90.00
Closest atoms and distances in Å follow each position.
Sites, in units of the cell vectors:
Ho: 0.0000 0.5000 0.0000  2 C 2.47
Ho: 0.5000 0.0000 0.0000  2 C 2.47
Ga: 0.0000 0.0000 0.5000  8 Ho 3.08
Fe: 0.5000 0.5000 0.5000  2 C 1.84
C: 0.5000 0.5000 0.0000  2 Fe 1.84

Values from the calculation:
- DFT formation energy: -0.41 eV/atom
- Total moment: 0.09 μB per atom
- DOS at the Fermi energy: 2.71 states/eV/f.u.
- Energy: -6.38 eV/atom


No. 8
La3CeHo: relaxed, GGA-PBE.

abc: 7.6646 7.6646 6.6292
angles: 90.00 90.00 120.00
Closest atoms and distances in Å follow each position.
Sites, in units of the cell vectors:
La: 0.1894 0.3789 0.2500  2 Ce 3.01, 2 La 3.31
La: 0.1894 0.8106 0.2500  2 Ce 3.01, 2 La 3.31
La: 0.3789 0.1894 0.7500  2 Ce 3.01, 2 La 3.31
La: 0.6211 0.8106 0.2500  2 Ce 3.01, 2 La 3.31
La: 0.8106 0.1894 0.7500  2 Ce 3.01, 2 La 3.31
La: 0.8106 0.6211 0.7500  2 Ce 3.01, 2 La 3.31
Ce: 0.0000 0.0000 0.0000  6 La 3.01, 2 Ce 3.31
Ce: 0.0000 0.0000 0.5000  6 La 3.01, 2 Ce 3.31
Ho: 0.3333 0.6667 0.7500  12 La 3.83-3.84
Ho: 0.6667 0.3333 0.2500  12 La 3.83-3.84

Values from the calculation:
- DFT formation energy: 0.24 eV/atom
- Total moment: 0.02 μB per atom
- DOS at the Fermi energy: 6.16 states/eV/f.u.
- Energy: -4.82 eV/atom


No. 9
Y2MgIn: relaxed, GGA-PBE.

abc: 4.8998 6.4509 6.4509
angles: 32.88 90.00 90.00
Closest atoms and distances in Å follow each position.
Sites, in units of the cell vectors:
Y: 0.0000 0.0000 0.0000  4 In 3.28, 3 Mg 3.29-3.43, 2 Y 3.65
Y: 0.5000 0.3325 0.3325  3 In 3.27-3.44, 4 Mg 3.29, 2 Y 3.65
Mg: 0.0000 0.7345 0.7345  2 In 2.99, 5 Y 3.29
In: 0.5000 0.5965 0.5965  2 Mg 2.99, 5 Y 3.27-3.28

Values from the calculation:
- DFT formation energy: -0.28 eV/atom
- Total moment: 0.12 μB per atom
- DOS at the Fermi energy: 4.51 states/eV/f.u.
- Energy: -4.59 eV/atom


No. 10
Fe2Co2Hg: relaxed, GGA-PBE.

abc: 7.0679 7.0679 2.7229
angles: 90.00 90.00 90.00
Closest atoms and distances in Å follow each position.
Sites, in units of the cell vectors:
Fe: 0.1346 0.3654 0.0000  6 Co 2.45-2.52, 3 Fe 2.69-2.72
Fe: 0.3654 0.8654 0.0000  6 Co 2.45-2.52, 3 Fe 2.69-2.72
Fe: 0.6346 0.1346 0.0000  6 Co 2.45-2.52, 3 Fe 2.69-2.72
Fe: 0.8654 0.6346 0.0000  6 Co 2.45-2.52, 3 Fe 2.69-2.72
Co: 0.1536 0.6536 0.5000  6 Fe 2.45-2.52, 2 Co 2.72
Co: 0.3464 0.1536 0.5000  6 Fe 2.45-2.52, 2 Co 2.72
Co: 0.6536 0.8464 0.5000  6 Fe 2.45-2.52, 2 Co 2.72
Co: 0.8464 0.3464 0.5000  6 Fe 2.45-2.52, 2 Co 2.72
Hg: 0.0000 0.0000 0.0000  2 Hg 2.72, 4 Fe 2.75, 8 Co 3.00
Hg: 0.5000 0.5000 0.0000  2 Hg 2.72, 4 Fe 2.75, 8 Co 3.00

Values from the calculation:
- DFT formation energy: 0.30 eV/atom
- Distance to the lowest polymorph of the same formula: 46 meV/atom
- Total moment: 1.68 μB per atom
- DOS at the Fermi energy: 4.18 states/eV/f.u.
- Energy: -5.99 eV/atom


No. 11
PrY2HoAs4: relaxed, GGA-PBE.

abc: 7.2137 4.1689 7.2144
angles: 90.00 109.48 90.00
Closest atoms and distances in Å follow each position.
Sites, in units of the cell vectors:
Pr: 0.0000 0.0000 0.0000  6 As 2.99
Y: 0.5000 0.0000 0.5000  6 As 2.90
Y: 0.5000 0.5000 0.0000  6 As 2.95
Ho: 0.0000 0.5000 0.5000  6 As 2.94
As: 0.2523 0.0000 0.7452  3 Y 2.90-2.95, 2 Ho 2.94, 1 Pr 2.99
As: 0.2566 0.5000 0.2579  3 Y 2.90-2.95, 1 Ho 2.94, 2 Pr 2.99
As: 0.7434 0.5000 0.7421  3 Y 2.90-2.95, 1 Ho 2.94, 2 Pr 2.99
As: 0.7477 0.0000 0.2548  3 Y 2.90-2.95, 2 Ho 2.94, 1 Pr 2.99

Values from the calculation:
- DFT formation energy: -1.52 eV/atom
- Total moment: 0.00 μB per atom
- DOS at the Fermi energy: 0.89 states/eV/f.u.
- Energy: -6.63 eV/atom


No. 12
HfCdF3: relaxed, GGA-PBE.

abc: 4.3285 4.3285 4.3285
angles: 90.00 90.00 90.00
Closest atoms and distances in Å follow each position.
Sites, in units of the cell vectors:
Hf: 0.0000 0.0000 0.0000  6 F 2.16
Cd: 0.5000 0.5000 0.5000  12 F 3.06
F: 0.0000 0.0000 0.5000  2 Hf 2.16
F: 0.0000 0.5000 0.0000  2 Hf 2.16
F: 0.5000 0.0000 0.0000  2 Hf 2.16

Values from the calculation:
- Distance to the lowest polymorph of the same formula: 0 meV/atom
- Total moment: 0.20 μB per atom
- DOS at the Fermi energy: 2.69 states/eV/f.u.
- Energy relative to the elements, uncorrected: -2.282 eV/atom
- Energy: -5.58 eV/atom